Entry 1:
A plane-wave DFT calculation with PBE-GGA was carried out for an optimized crystal structure of Ca2UTaN4.

Lattice parameters (Å, degrees): 5.7465 3.3355 5.9302 90.00 108.42 90.00
With the nearest neighbours (Å) after each atom.
Sites, in units of the cell vectors:
1 Ca 0.0000 0.0000 0.0000  6 N 2.54-2.55
2 Ca 0.5000 0.5000 0.0000  6 N 2.48
3 U 0.0000 0.5000 0.5000  6 N 2.27-2.30
4 Ta 0.5000 0.0000 0.5000  6 N 2.20-2.25
5 N 0.2503 0.0000 0.7142  1 Ta 2.20, 2 U 2.30
6 N 0.2696 0.5000 0.2902  2 Ta 2.25, 1 U 2.27, 1 Ca 2.48
7 N 0.7304 0.5000 0.7098  2 Ta 2.25, 1 U 2.27, 1 Ca 2.48
8 N 0.7497 0.0000 0.2858  1 Ta 2.20, 2 U 2.30

Total magnetic moment: 1.0 μB per cell

---

Entry 2:
A plane-wave DFT calculation with PBE-GGA was carried out for an optimized crystal structure of Ca3UTa3N8.

Lattice parameters (Å, degrees): 6.7621 6.7621 6.7621 56.90 56.90 56.90
With the nearest neighbours (Å) after each atom.
Sites, in units of the cell vectors:
1 Ca 0.0000 0.5000 0.5000  6 N 2.46-2.53
2 Ca 0.5000 0.0000 0.5000  6 N 2.46-2.53
3 Ca 0.5000 0.5000 0.0000  6 N 2.46-2.53
4 U 0.5000 0.5000 0.5000  6 N 2.20
5 Ta 0.0000 0.0000 0.5000  6 N 2.16-2.22
6 Ta 0.0000 0.5000 0.0000  6 N 2.16-2.22
7 Ta 0.5000 0.0000 0.0000  6 N 2.16-2.22
8 N 0.2270 0.7356 0.7356  2 Ta 2.16, 1 U 2.20
9 N 0.2386 0.2386 0.2386  3 Ta 2.22, 3 Ca 2.46
10 N 0.2644 0.2644 0.7730  2 Ta 2.16, 1 U 2.20
11 N 0.2644 0.7730 0.2644  2 Ta 2.16, 1 U 2.20
12 N 0.7356 0.2270 0.7356  2 Ta 2.16, 1 U 2.20
13 N 0.7356 0.7356 0.2270  2 Ta 2.16, 1 U 2.20
14 N 0.7614 0.7614 0.7614  3 Ta 2.22, 3 Ca 2.46
15 N 0.7730 0.2644 0.2644  2 Ta 2.16, 1 U 2.20

Total magnetic moment: 0.0 μB per cell

---

Entry 3:
A plane-wave DFT calculation with PBE-GGA was carried out for an optimized crystal structure of Ca3Ta3VN8.

Lattice parameters (Å, degrees): 6.6624 6.6624 6.6624 55.67 55.67 55.67
With the nearest neighbours (Å) after each atom.
Sites, in units of the cell vectors:
1 Ca 0.0000 0.5000 0.5000  6 N 2.41-2.46
2 Ca 0.5000 0.0000 0.5000  6 N 2.41-2.46
3 Ca 0.5000 0.5000 0.0000  6 N 2.41-2.46
4 Ta 0.0000 0.0000 0.5000  6 N 2.12-2.16
5 Ta 0.0000 0.5000 0.0000  6 N 2.12-2.16
6 Ta 0.5000 0.0000 0.0000  6 N 2.12-2.16
7 V 0.5000 0.5000 0.5000  6 N 2.10
8 N 0.2363 0.7310 0.7310  1 V 2.10, 2 Ta 2.12
9 N 0.2383 0.2383 0.2383  3 Ta 2.16, 3 Ca 2.41
10 N 0.2690 0.2690 0.7637  1 V 2.10, 2 Ta 2.12
11 N 0.2690 0.7637 0.2690  1 V 2.10, 2 Ta 2.12
12 N 0.7310 0.2363 0.7310  1 V 2.10, 2 Ta 2.12
13 N 0.7310 0.7310 0.2363  1 V 2.10, 2 Ta 2.12
14 N 0.7617 0.7617 0.7617  3 Ta 2.16, 3 Ca 2.41
15 N 0.7637 0.2690 0.2690  1 V 2.10, 2 Ta 2.12

Total magnetic moment: 1.0 μB per cell

---

Entry 4:
A plane-wave DFT calculation with PBE-GGA was carried out for an optimized crystal structure of Ca2TaWN5.

Lattice parameters (Å, degrees): 6.8900 6.8900 11.1292 90.00 90.00 152.19
With the nearest neighbours (Å) after each atom.
Sites, in units of the cell vectors:
1 Ca 0.0902 0.9098 0.5000  6 N 2.40-2.51
2 Ca 0.1485 0.8515 0.1545  7 N 2.40-2.68
3 Ca 0.8515 0.1485 0.6545  7 N 2.40-2.68
4 Ca 0.9098 0.0902 0.0000  6 N 2.40-2.51
5 Ta 0.2290 0.7710 0.8792  3 N 1.91-2.06
6 Ta 0.7710 0.2290 0.3792  3 N 1.91-2.06
7 W 0.4517 0.5483 0.2747  4 N 1.82-1.94
8 W 0.5483 0.4517 0.7747  4 N 1.82-1.94
9 N 0.0492 0.9508 0.8649  2 W 1.94
10 N 0.2743 0.7257 0.4900  2 Ta 2.06
11 N 0.3123 0.6877 0.2437  1 W 1.90
12 N 0.3677 0.6323 0.8390  1 Ta 1.91
13 N 0.4943 0.5057 0.6244  1 W 1.82
14 N 0.5057 0.4943 0.1244  1 W 1.82
15 N 0.6323 0.3677 0.3390  1 Ta 1.91
16 N 0.6877 0.3123 0.7437  1 W 1.90
17 N 0.7257 0.2743 0.9900  2 Ta 2.06
18 N 0.9508 0.0492 0.3649  2 W 1.94

Total magnetic moment: 0.0 μB per cell

---

Entry 5:
A plane-wave DFT calculation with PBE-GGA was carried out for an optimized crystal structure of Ca3Y2TaN6.

Lattice parameters (Å, degrees): 5.8917 5.8917 5.9769 99.50 99.50 120.01
With the nearest neighbours (Å) after each atom.
Sites, in units of the cell vectors:
1 Ca 0.0000 0.0000 0.0000  6 N 2.46-2.67
2 Ca 0.3360 0.6640 0.0000  6 N 2.45-2.67
3 Ca 0.6640 0.3360 0.0000  6 N 2.45-2.67
4 Y 0.1667 0.8333 0.5000  6 N 2.39-2.40
5 Y 0.8333 0.1667 0.5000  6 N 2.39-2.40
6 Ta 0.5000 0.5000 0.5000  6 N 2.17-2.18
7 N 0.1223 0.4267 0.2794  1 Ta 2.18, 2 Y 2.40
8 N 0.2688 0.2688 0.7172  1 Ta 2.17, 2 Y 2.39
9 N 0.4267 0.1223 0.2794  1 Ta 2.18, 2 Y 2.40
10 N 0.5733 0.8777 0.7206  1 Ta 2.18, 2 Y 2.40
11 N 0.7312 0.7312 0.2828  1 Ta 2.17, 2 Y 2.39
12 N 0.8777 0.5733 0.7206  1 Ta 2.18, 2 Y 2.40

Total magnetic moment: 0.0 μB per cell

---

Entry 6:
A plane-wave DFT calculation with PBE-GGA was carried out for an optimized crystal structure of Ca2YTaN4.

Lattice parameters (Å, degrees): 5.8264 3.3254 5.9320 90.00 108.96 90.00
With the nearest neighbours (Å) after each atom.
Sites, in units of the cell vectors:
1 Ca 0.0000 0.0000 0.0000  6 N 2.55-2.66
2 Ca 0.5000 0.5000 0.0000  6 N 2.43-2.44
3 Y 0.0000 0.5000 0.5000  6 N 2.36-2.38
4 Ta 0.5000 0.0000 0.5000  6 N 2.13-2.22
5 N 0.2700 0.0000 0.7151  1 Ta 2.13, 2 Y 2.36
6 N 0.2816 0.5000 0.2861  2 Ta 2.22, 1 Y 2.38, 1 Ca 2.43
7 N 0.7184 0.5000 0.7139  2 Ta 2.22, 1 Y 2.38, 1 Ca 2.43
8 N 0.7300 0.0000 0.2849  1 Ta 2.13, 2 Y 2.36

Total magnetic moment: 0.0 μB per cell

---

Entry 7:
A plane-wave DFT calculation with PBE-GGA was carried out for an optimized crystal structure of Ca4Ta3ZnN8.

Lattice parameters (Å, degrees): 6.6518 6.6518 6.6518 57.79 57.79 57.79
With the nearest neighbours (Å) after each atom.
Sites, in units of the cell vectors:
1 Ca 0.0000 0.0000 0.0000  6 N 2.38
2 Ca 0.0000 0.5000 0.5000  6 N 2.44-2.49
3 Ca 0.5000 0.0000 0.5000  6 N 2.44-2.49
4 Ca 0.5000 0.5000 0.0000  6 N 2.44-2.49
5 Ta 0.0000 0.0000 0.5000  6 N 2.15-2.20
6 Ta 0.0000 0.5000 0.0000  6 N 2.15-2.20
7 Ta 0.5000 0.0000 0.0000  6 N 2.15-2.20
8 Zn 0.5000 0.5000 0.5000  6 N 2.27
9 N 0.2184 0.7457 0.7457  2 Ta 2.15, 1 Zn 2.27, 1 Ca 2.38
10 N 0.2379 0.2379 0.2379  3 Ta 2.20, 3 Ca 2.44
11 N 0.2543 0.2543 0.7816  2 Ta 2.15, 1 Zn 2.27, 1 Ca 2.38
12 N 0.2543 0.7816 0.2543  2 Ta 2.15, 1 Zn 2.27, 1 Ca 2.38
13 N 0.7457 0.2184 0.7457  2 Ta 2.15, 1 Zn 2.27, 1 Ca 2.38
14 N 0.7457 0.7457 0.2184  2 Ta 2.15, 1 Zn 2.27, 1 Ca 2.38
15 N 0.7621 0.7621 0.7621  3 Ta 2.20, 3 Ca 2.44
16 N 0.7816 0.2543 0.2543  2 Ta 2.15, 1 Zn 2.27, 1 Ca 2.38

Total magnetic moment: 0.0 μB per cell

---

Entry 8:
A plane-wave DFT calculation with PBE-GGA was carried out for an optimized crystal structure of CaTaZn2N4.

Lattice parameters (Å, degrees): 7.2603 5.7770 5.3981 90.00 90.00 90.00
With the nearest neighbours (Å) after each atom.
Sites, in units of the cell vectors:
1 Ca 0.0000 0.1957 0.0000  4 N 2.32-2.45
2 Ca 0.5000 0.8043 0.5000  4 N 2.32-2.45
3 Ta 0.0000 0.8114 0.5208  4 N 1.95-1.98
4 Ta 0.5000 0.1886 0.0208  4 N 1.95-1.98
5 Zn 0.2470 0.3229 0.5128  4 N 2.04-2.09
6 Zn 0.2530 0.6771 0.0128  4 N 2.04-2.09
7 Zn 0.7470 0.6771 0.0128  4 N 2.04-2.09
8 Zn 0.7530 0.3229 0.5128  4 N 2.04-2.09
9 N 0.0000 0.1475 0.4516  1 Ta 1.98, 2 Zn 2.09
10 N 0.0000 0.7904 0.8822  1 Ta 1.95, 2 Zn 2.07
11 N 0.2155 0.6550 0.3872  1 Ta 1.95, 2 Zn 2.04-2.05
12 N 0.2845 0.3450 0.8872  1 Ta 1.95, 2 Zn 2.04-2.05
13 N 0.5000 0.2096 0.3822  1 Ta 1.95, 2 Zn 2.07
14 N 0.5000 0.8525 0.9516  1 Ta 1.98, 2 Zn 2.09
15 N 0.7155 0.3450 0.8872  1 Ta 1.95, 2 Zn 2.04-2.05
16 N 0.7845 0.6550 0.3872  1 Ta 1.95, 2 Zn 2.04-2.05

Total magnetic moment: 1.8 μB per cell

---

Entry 9:
A plane-wave DFT calculation with PBE-GGA was carried out for an optimized crystal structure of Ca3ZrTa3N8.

Lattice parameters (Å, degrees): 6.7265 6.7265 6.7265 56.35 56.35 56.35
With the nearest neighbours (Å) after each atom.
Sites, in units of the cell vectors:
1 Ca 0.0000 0.5000 0.5000  6 N 2.44-2.51
2 Ca 0.5000 0.0000 0.5000  6 N 2.44-2.51
3 Ca 0.5000 0.5000 0.0000  6 N 2.44-2.51
4 Zr 0.5000 0.5000 0.5000  6 N 2.20
5 Ta 0.0000 0.0000 0.5000  6 N 2.13-2.19
6 Ta 0.0000 0.5000 0.0000  6 N 2.13-2.19
7 Ta 0.5000 0.0000 0.0000  6 N 2.13-2.19
8 N 0.2236 0.7389 0.7389  2 Ta 2.13, 1 Zr 2.20
9 N 0.2379 0.2379 0.2379  3 Ta 2.19, 3 Ca 2.44
10 N 0.2611 0.2611 0.7764  2 Ta 2.13, 1 Zr 2.20
11 N 0.2611 0.7764 0.2611  2 Ta 2.13, 1 Zr 2.20
12 N 0.7389 0.2236 0.7389  2 Ta 2.13, 1 Zr 2.20
13 N 0.7389 0.7389 0.2236  2 Ta 2.13, 1 Zr 2.20
14 N 0.7621 0.7621 0.7621  3 Ta 2.19, 3 Ca 2.44
15 N 0.7764 0.2611 0.2611  2 Ta 2.13, 1 Zr 2.20

Total magnetic moment: 0.0 μB per cell

---

Entry 10:
A plane-wave DFT calculation with PBE-GGA was carried out for an optimized crystal structure of Ca2ZrTaN4.

Lattice parameters (Å, degrees): 5.6404 3.2503 5.8946 90.00 108.50 90.00
With the nearest neighbours (Å) after each atom.
Sites, in units of the cell vectors:
1 Ca 0.0000 0.0000 0.0000  6 N 2.49-2.52
2 Ca 0.5000 0.5000 0.0000  6 N 2.43-2.44
3 Zr 0.0000 0.5000 0.5000  6 N 2.26-2.27
4 Ta 0.5000 0.0000 0.5000  6 N 2.17-2.20
5 N 0.2499 0.0000 0.7142  1 Ta 2.17, 2 Zr 2.26
6 N 0.2726 0.5000 0.2871  2 Ta 2.20, 1 Zr 2.27, 1 Ca 2.43
7 N 0.7274 0.5000 0.7129  2 Ta 2.20, 1 Zr 2.27, 1 Ca 2.43
8 N 0.7501 0.0000 0.2858  1 Ta 2.17, 2 Zr 2.26

Total magnetic moment: 0.0 μB per cell

---

What did we get for final energy? Answer: -70.51; -137.19; -134.18; -78.99; -95.80; -66.10; -128.39; -53.63; -135.08; -68.71 eV per formula unit, in the order shown.